VCd2O4: relaxed, PBE with a Hubbard U.

```
VCd2O4
1.0
-4.7762 -4.2378 1.5063
4.0865 -5.0067 -1.1283
2.4947 0.1552 8.3468
V Cd O
4 8 16
direct
0.0000 0.7587 0.5000
0.2413 0.0000 0.7500
0.7587 0.0000 0.2500
0.0000 0.2413 0.0000
0.7459 0.7459 0.8750
0.2541 0.7459 0.1250
0.7459 0.2541 0.6250
0.2541 0.2541 0.3750
0.7624 0.5000 0.2500
0.5000 0.2376 0.0000
0.5000 0.7624 0.5000
0.2376 0.5000 0.7500
0.2160 0.9857 0.5286
0.7840 0.9857 0.4714
0.0143 0.2160 0.7786
0.7840 0.0143 0.0286
0.2178 0.4418 0.0177
0.5582 0.2178 0.2677
0.4418 0.7822 0.7677
0.2178 0.5582 0.4823
0.7822 0.4418 0.9823
0.7822 0.5582 0.5177
0.4418 0.2178 0.7323
0.5582 0.7822 0.2323
0.9857 0.2160 0.2214
0.2160 0.0143 0.9714
0.9857 0.7840 0.2786
0.0143 0.7840 0.7214
```

**Total energy**: -0.412 Ry per atom
**Calculated volume**: 13.39 Å³ per atom